(1)
Below is a relaxed structure of Sc5TlCd2Rh2, with properties calculated at the PBE-GGA level.

The calculation puts the total moment at 0.00 μB/f.u. As for the symmetry: P4/mbm, No. 127. The value obtained for the density is 6.542 Mg/m³. The calculation puts the calculated total energy at -5.534 eV per atom.

Unit cell a=3.4811 b=11.1972 c=11.1972 alpha=90.00 beta=90.00 gamma=90.00
Last column: nearest neighbours and their distance in Å.
Positions (direct):
Sc (0.5000, 0.2939, 0.5792)  2 Rh 2.61
Tl (0.0000, 0.5000, 0.5000)  8 Sc 3.02
Sc (0.5000, 0.7061, 0.4208)  2 Rh 2.61
Sc (0.5000, 0.2061, 0.0792)  2 Rh 2.61
Sc (0.5000, 0.0792, 0.7939)  2 Rh 2.61
Sc (0.5000, 0.5792, 0.7061)  2 Rh 2.61
Rh (0.0000, 0.8726, 0.3726)  6 Sc 2.61-2.66
Tl (0.0000, 0.0000, 0.0000)  8 Sc 3.02
Rh (0.0000, 0.1274, 0.6274)  6 Sc 2.61-2.66
Cd (0.0000, 0.1716, 0.3284)  3 Rh 3.18-3.38, 6 Sc 3.23-3.31, 2 Cd 3.48
Rh (0.0000, 0.6274, 0.8726)  6 Sc 2.61-2.66
Sc (0.5000, 0.9208, 0.2061)  2 Rh 2.61
Sc (0.5000, 0.7939, 0.9208)  2 Rh 2.61
Cd (0.0000, 0.6716, 0.1716)  3 Rh 3.18-3.38, 6 Sc 3.23-3.31, 2 Cd 3.48
Cd (0.0000, 0.3284, 0.8284)  3 Rh 3.18-3.38, 6 Sc 3.23-3.31, 2 Cd 3.48
Sc (0.5000, 0.0000, 0.5000)  4 Rh 2.66
Rh (0.0000, 0.3726, 0.1274)  6 Sc 2.61-2.66
Sc (0.5000, 0.5000, 0.0000)  4 Rh 2.66
Sc (0.5000, 0.4208, 0.2939)  2 Rh 2.61
Cd (0.0000, 0.8284, 0.6716)  3 Rh 3.18-3.38, 6 Sc 3.23-3.31, 2 Cd 3.48

(2)
Below is a relaxed structure of Sr3LiRh, with properties calculated at the PBE-GGA level.

The calculation puts the total moment at 0.81 μB/f.u. As for the symmetry: P6_3/mmc, No. 194. The value obtained for the density is 3.106 Mg/m³. Its distance to the lowest polymorph of the same formula is 2.17 eV per formula unit.

Unit cell a=4.9979 b=4.9979 c=18.4243 alpha=90.00 beta=90.00 gamma=120.00
Last column: nearest neighbours and their distance in Å.
Positions (direct):
Li (0.3333, 0.6667, 0.7500)  3 Sr 2.89
Sr (0.0000, 0.0000, 0.7500)  3 Li 2.89
Sr (0.6667, 0.3333, 0.0675)  3 Rh 3.14, 1 Li 3.36
Sr (0.6667, 0.3333, 0.4325)  3 Rh 3.14, 1 Li 3.36
Li (0.6667, 0.3333, 0.2500)  3 Sr 2.89
Sr (0.3333, 0.6667, 0.9325)  3 Rh 3.14, 1 Li 3.36
Rh (0.0000, 0.0000, 0.0000)  6 Sr 3.14
Rh (0.0000, 0.0000, 0.5000)  6 Sr 3.14
Sr (0.0000, 0.0000, 0.2500)  3 Li 2.89
Sr (0.3333, 0.6667, 0.5675)  3 Rh 3.14, 1 Li 3.36

(3)
Below is a relaxed structure of CdTc2Pt, with properties calculated at the PBE-GGA level.

The calculation puts the total moment at 0.00 μB/f.u. As for the symmetry: I4/mmm, No. 139. The value obtained for the density is 13.158 Mg/m³. The calculation puts the calculated total energy at -6.699 eV per atom.

Unit cell a=5.0925 b=5.0925 c=5.0925 alpha=135.69 beta=135.69 gamma=64.45
Last column: nearest neighbours and their distance in Å.
Positions (direct):
Pt (0.7500, 0.2500, 0.5000)  4 Cd 2.72, 8 Tc 2.89
Tc (0.5000, 0.5000, 0.0000)  4 Tc 2.72, 4 Cd 2.89, 4 Pt 2.89
Tc (0.0000, 0.0000, 0.0000)  4 Tc 2.72, 4 Pt 2.89, 4 Cd 2.89
Cd (0.2500, 0.7500, 0.5000)  4 Pt 2.72, 8 Tc 2.89

Among the records above, which one has the lowest density? Sr3LiRh

Which value of density does entry 3 give? 13.158 Mg/m³

Among the records above, which one has the lowest density? Sr3LiRh

Among the records above, which one has the highest density? CdTc2Pt